## MnZnO2 (PBE+U)

Data for a relaxed MnZnO2 crystal.

Lattice parameters (Å, degrees): 5.8509 6.7431 5.3851 90.00 90.00 90.00
Closest atoms and distances in Å follow each position.
Positions (direct):
Zn1 0.0804 0.3740 0.0028  4 O 2.00-2.01
Zn2 0.9196 0.6260 0.5028  4 O 2.00-2.01
Zn3 0.4196 0.8740 0.5028  4 O 2.00-2.01
Zn4 0.5804 0.1260 0.0028  4 O 2.00-2.01
Mn1 0.0895 0.8760 0.0046  4 O 2.08-2.11
Mn2 0.9105 0.1240 0.5046  4 O 2.08-2.11
Mn3 0.4105 0.3760 0.5046  4 O 2.08-2.11
Mn4 0.5895 0.6240 0.0046  4 O 2.08-2.11
O1 0.4267 0.8810 0.1293  2 Zn 2.00-2.01, 2 Mn 2.08-2.09
O2 0.5733 0.1190 0.6293  2 Zn 2.00-2.01, 2 Mn 2.08-2.09
O3 0.0733 0.3810 0.6293  2 Zn 2.00-2.01, 2 Mn 2.08-2.09
O4 0.9267 0.6190 0.1293  2 Zn 2.00-2.01, 2 Mn 2.08-2.09
O5 0.0907 0.8692 0.6130  2 Zn 2.01, 2 Mn 2.10-2.11
O6 0.9093 0.1308 0.1130  2 Zn 2.01, 2 Mn 2.10-2.11
O7 0.4093 0.3692 0.1130  2 Zn 2.01, 2 Mn 2.10-2.11
O8 0.5907 0.6308 0.6130  2 Zn 2.01, 2 Mn 2.10-2.11

## Properties
Energy   -6.18 eV/atom
Calculated density   4763 kg/m3